(1)
Compound: NbCrRh2Se
Source: Alexandria
Functional: SCAN
Structure: PBEsol geometry

Structure (CIF):
```
data_NbCrRh2Se
_chemical_formula_sum 'Nb1 Cr1 Rh2 Se1'
_cell_length_a 4.398
_cell_length_b 4.398
_cell_length_c 4.456
_cell_angle_alpha 90.00
_cell_angle_beta 90.00
_cell_angle_gamma 90.00
_space_group_name_H-M_alt 'P 4/m m m'
_space_group_IT_number 123
_space_group_name_Hall '-P 4 2'
loop_
_atom_site_label
_atom_site_type_symbol
_atom_site_fract_x
_atom_site_fract_y
_atom_site_fract_z
Nb1 Nb 0.000 0.000 0.000
Cr1 Cr 0.500 0.500 0.500
Rh1 Rh 0.000 0.500 0.500
Se1 Se 0.500 0.500 0.000
```

Output
Magnetic moment, μB per cell: 3.3
Final energy, eV/cell: -135.2
Formation energy (no corrections), eV per atom: 0.79


(2)
Compound: SrNb2CrRu
Source: Alexandria
Functional: SCAN
Structure: PBEsol geometry

Structure (CIF):
```
data_SrNb2CrRu
_chemical_formula_sum 'Sr1 Nb2 Cr1 Ru1'
_cell_length_a 4.822
_cell_length_b 4.822
_cell_length_c 4.915
_cell_angle_alpha 90.00
_cell_angle_beta 90.00
_cell_angle_gamma 90.00
_space_group_name_H-M_alt 'P 4/m m m'
_space_group_IT_number 123
_space_group_name_Hall '-P 4 2'
loop_
_atom_site_label
_atom_site_type_symbol
_atom_site_fract_x
_atom_site_fract_y
_atom_site_fract_z
Sr1 Sr 0.000 0.000 0.000
Nb1 Nb 0.000 0.500 0.500
Cr1 Cr 0.500 0.500 0.000
Ru1 Ru 0.500 0.500 0.500
```

Output
Magnetic moment, μB per cell: 0.5
Formation enthalpy at 0 K, eV/atom: 0.68
Final energy, eV/cell: -138.4


(3)
Compound: NbCrS2
Source: Alexandria
Functional: SCAN
Structure: PBEsol geometry

Structure (CIF):
```
data_NbCrS2
_chemical_formula_sum 'Nb4 Cr4 S8'
_cell_length_a 5.436
_cell_length_b 5.436
_cell_length_c 10.105
_cell_angle_alpha 90.00
_cell_angle_beta 90.00
_cell_angle_gamma 90.00
_space_group_name_H-M_alt 'I -4 2 d'
_space_group_IT_number 122
_space_group_name_Hall 'I -4 2bw'
loop_
_atom_site_label
_atom_site_type_symbol
_atom_site_fract_x
_atom_site_fract_y
_atom_site_fract_z
Nb1 Nb 0.000 0.000 0.000
Cr1 Cr 0.000 0.000 0.500
S1 S 0.226 0.250 0.625
```

Output
Magnetic moment, μB per cell: 17.1
Final energy, eV/cell: -291.4
Formation energy (no corrections), eV per atom: -0.52


(4)
Compound: Ti2NbCrSb
Source: Alexandria
Functional: SCAN
Structure: PBEsol geometry

Structure (CIF):
```
data_Ti2NbCrSb
_chemical_formula_sum 'Ti2 Nb1 Cr1 Sb1'
_cell_length_a 4.867
_cell_length_b 4.867
_cell_length_c 4.650
_cell_angle_alpha 90.00
_cell_angle_beta 90.00
_cell_angle_gamma 90.00
_space_group_name_H-M_alt 'P 4/m m m'
_space_group_IT_number 123
_space_group_name_Hall '-P 4 2'
loop_
_atom_site_label
_atom_site_type_symbol
_atom_site_fract_x
_atom_site_fract_y
_atom_site_fract_z
Ti1 Ti 0.000 0.500 0.000
Nb1 Nb 0.000 0.000 0.500
Cr1 Cr 0.500 0.500 0.500
Sb1 Sb 0.500 0.500 0.000
```

Output
Magnetic moment, μB per cell: 0.7
Final energy, eV/cell: -115.2
Formation energy (no corrections), eV per atom: 1.12